1.
# GGA-PBE Rb3NaNi2Br9, optimized geometry
data_Rb3NaNi2Br9
_cell_length_a 7.4501
_cell_length_b 7.4501
_cell_length_c 9.3771
_cell_angle_alpha 90.00
_cell_angle_beta 90.00
_cell_angle_gamma 120.00
_symmetry_space_group_name_H-M 'P -3 m 1'
_symmetry_Int_Tables_number 164
_symmetry_space_group_name_Hall '-P 3 2"'
loop_
_atom_site_label
_atom_site_fract_x
_atom_site_fract_y
_atom_site_fract_z
Rb1 0.0000 0.0000 0.0000
Rb2 0.3333 0.6667 0.6732
Na1 0.0000 0.0000 0.5000
Ni1 0.3333 0.6667 0.1621
Br1 0.0000 0.5000 0.0000
Br2 0.1761 0.3522 0.3088
# **E_form (uncorrected)**: -991 meV per atom
# **Electronic total energy**: -45.70 eV/cell
# **Spin magnetization**: 2.47 μB per formula unit

2.
# GGA-PBE NaNiSe2Br, optimized geometry
data_NaNiSe2Br
_cell_length_a 4.521
_cell_length_b 4.521
_cell_length_c 6.975
_cell_angle_alpha 90.00
_cell_angle_beta 90.00
_cell_angle_gamma 90.00
_symmetry_space_group_name_H-M 'P 4/m m m'
_symmetry_Int_Tables_number 123
_symmetry_space_group_name_Hall '-P 4 2'
loop_
_atom_site_label
_atom_site_fract_x
_atom_site_fract_y
_atom_site_fract_z
Na1 0.000 0.000 0.000
Ni1 0.500 0.500 0.500
Se1 0.000 0.500 0.500
Br1 0.500 0.500 0.000
# **E_form (uncorrected)**: -279 meV per atom
# **Electronic total energy**: -17.14 eV/cell
# **Distance to the lowest polymorph of the same formula**: 0 meV/atom
# **Spin magnetization**: 1.87 μB per formula unit

spin magnetization of number 2 (NaNiSe2Br)?
1.87 μB per formula unit

What did the second record say?
# GGA-PBE NaNiSe2Br, optimized geometry
data_NaNiSe2Br
_cell_length_a 4.521
_cell_length_b 4.521
_cell_length_c 6.975
_cell_angle_alpha 90.00
_cell_angle_beta 90.00
_cell_angle_gamma 90.00
_symmetry_space_group_name_H-M 'P 4/m m m'
_symmetry_Int_Tables_number 123
_symmetry_space_group_name_Hall '-P 4 2'
loop_
_atom_site_label
_atom_site_fract_x
_atom_site_fract_y
_atom_site_fract_z
Na1 0.000 0.000 0.000
Ni1 0.500 0.500 0.500
Se1 0.000 0.500 0.500
Br1 0.500 0.500 0.000
# **E_form (uncorrected)**: -279 meV per atom
# **Electronic total energy**: -17.14 eV/cell
# **Distance to the lowest polymorph of the same formula**: 0 meV/atom
# **Spin magnetization**: 1.87 μB per formula unit

Which of these has the highest spin magnetization?
Rb3NaNi2Br9